# 1
The following is a DFT calculation (GGA-PBE) of a geometry-optimized LiScP2 structure.

## Properties
Space-group type: I-4m2 (119)
ΔE to the lowest computed polymorph: 0.558 eV per formula unit
Total energy: -5.449 eV/atom

Cell: 5.212 5.212 5.212 Å, 138.41 138.41 60.28°
Atoms (fractional coordinates):
P: 0.000 0.000 0.000
Li: 0.750 0.250 0.500
P: 0.250 0.750 0.500
Sc: 0.500 0.500 0.000

# 2
The following is a DFT calculation (GGA-PBE) of a geometry-optimized KAsPt2 structure.

## Properties
Space-group type: I4/mmm (139)
Total energy: -4.109 eV/atom

Cell: 5.098 5.098 5.098 Å, 130.13 130.13 73.21°
Atoms (fractional coordinates):
Pt: 0.000 0.000 0.000
K: 0.750 0.250 0.500
Pt: 0.500 0.500 0.000
As: 0.250 0.750 0.500

# 3
The following is a DFT calculation (GGA-PBE) of a geometry-optimized Tb4Pr5Sc2 structure.

## Properties
Space-group type: P2/m (10)
ΔE to the lowest computed polymorph: 0.000 eV per formula unit
Total energy: -4.926 eV/atom

Cell: 3.540 8.956 11.415 Å, 86.04 90.00 90.00°
Atoms (fractional coordinates):
Pr: 0.000 0.179 0.842
Pr: 0.000 0.500 0.000
Pr: 0.000 0.565 0.690
Tb: 0.500 0.255 0.560
Sc: 0.000 0.062 0.369
Sc: 0.000 0.938 0.631
Tb: 0.500 0.171 0.126
Tb: 0.500 0.829 0.874
Tb: 0.500 0.745 0.440
Pr: 0.000 0.435 0.310
Pr: 0.000 0.821 0.158

# 4
The following is a DFT calculation (GGA-PBE) of a geometry-optimized Y2ErTmTh structure.

## Properties
Space-group type: P2/c (13)
Total energy: -5.538 eV/atom

Cell: 6.327 8.456 6.272 Å, 94.65 90.00 90.00°
Atoms (fractional coordinates):
Th: 0.557 0.000 0.250
Y: 0.293 0.310 0.226
Y: 0.707 0.310 0.726
Th: 0.443 0.000 0.750
Y: 0.293 0.690 0.274
Tm: 0.000 0.000 0.500
Y: 0.707 0.690 0.774
Er: 0.187 0.500 0.750
Er: 0.813 0.500 0.250
Tm: 0.000 0.000 0.000

# 5
The following is a DFT calculation (GGA-PBE) of a geometry-optimized Pm2SmErSe4 structure.

## Properties
Space-group type: P2/m (10)
Formation energy from raw total energies: -1793 meV per atom
Total energy: -5.884 eV/atom

Cell: 4.091 7.244 7.213 Å, 71.27 90.00 90.00°
Atoms (fractional coordinates):
Pm: 0.500 0.000 0.500
Se: 0.000 0.743 0.746
Se: 0.500 0.261 0.740
Pm: 0.000 0.000 0.000
Se: 0.500 0.739 0.260
Er: 0.000 0.500 0.500
Sm: 0.500 0.500 0.000
Se: 0.000 0.257 0.254

# 6
The following is a DFT calculation (GGA-PBE) of a geometry-optimized RbPdI structure.

## Properties
Space-group type: P2_1/m (11)
ΔE to the lowest computed polymorph: 0.000 eV per formula unit
Formation energy from raw total energies: -672 meV per atom
Total energy: -3.243 eV/atom

Cell: 8.332 5.721 5.246 Å, 90.00 71.82 90.00°
Atoms (fractional coordinates):
I: 0.779 0.750 0.863
Pd: 0.500 0.000 0.000
Pd: 0.500 0.500 0.000
Rb: 0.737 0.250 0.383
I: 0.221 0.250 0.137
Rb: 0.263 0.750 0.617

# 7
The following is a DFT calculation (GGA-PBE) of a geometry-optimized BaNpGa2I8 structure.

## Properties
Space-group type: P2/m (10)
Formation energy from raw total energies: -853 meV per atom
Total energy: -3.630 eV/atom

Cell: 7.904 7.453 9.745 Å, 89.98 90.00 90.88°
Last column: magnetic moment on the atom in μB.
Atoms (fractional coordinates):
I: 0.847 0.240 0.220  -0.04
I: 0.153 0.760 0.780  -0.04
I: 0.689 0.770 0.000  -0.08
Ga: 0.500 0.500 0.740  -0.02
I: 0.153 0.760 0.220  -0.04
I: 0.311 0.230 0.000  -0.08
Ba: 0.000 0.000 0.500  0.00
Np: 0.000 0.000 0.000  3.42
I: 0.646 0.727 0.500  -0.02
Ga: 0.500 0.500 0.260  -0.02
I: 0.847 0.240 0.780  -0.04
I: 0.354 0.273 0.500  -0.02

# 8
The following is a DFT calculation (GGA-PBE) of a geometry-optimized Ba6Te2S3I structure.

## Properties
Space-group type: C2/m (12)
Formation energy from raw total energies: -1856 meV per atom
Total energy: -4.502 eV/atom

Cell: 4.734 9.625 10.716 Å, 104.35 102.76 90.00°
Atoms (fractional coordinates):
Ba: 0.324 0.928 0.647
I: 0.500 0.000 0.000
Ba: 0.337 0.406 0.674
S: 0.500 0.500 0.000
S: 0.165 0.834 0.331
Ba: 0.663 0.594 0.326
Te: 0.836 0.672 0.673
Te: 0.164 0.328 0.327
Ba: 0.007 0.725 0.013
S: 0.835 0.166 0.669
Ba: 0.676 0.072 0.353
Ba: 0.993 0.275 0.987

# 9
The following is a DFT calculation (GGA-PBE) of a geometry-optimized RbZrCo2 structure.

## Properties
Space-group type: I-42d (122)
ΔE to the lowest computed polymorph: 0.205 eV per formula unit
Total energy: -4.759 eV/atom

Cell: 7.415 7.415 6.142 Å, 52.87 52.87 90.00°
Last column: magnetic moment on the atom in μB.
Atoms (fractional coordinates):
Rb: 0.250 0.750 0.500  -0.01
Zr: 0.750 0.250 0.500  -0.30
Co: 0.073 0.625 0.250  0.69
Co: 0.677 0.125 0.250  0.68
Rb: 0.500 0.500 0.000  -0.01
Co: 0.375 0.323 0.750  0.67
Zr: 0.000 0.000 0.000  -0.30
Co: 0.875 0.927 0.750  0.68

# 10
The following is a DFT calculation (GGA-PBE) of a geometry-optimized Sm3HoTh2Sb6 structure.

## Properties
Space-group type: C2/m (12)
Formation energy from raw total energies: -1087 meV per atom
Total energy: -5.946 eV/atom

Cell: 4.475 8.929 9.993 Å, 103.01 102.94 90.00°
Atoms (fractional coordinates):
Sb: 0.999 0.245 0.997
Sb: 0.667 0.585 0.333
Sm: 0.833 0.166 0.666
Th: 0.165 0.331 0.329
Sm: 0.167 0.834 0.334
Sb: 0.333 0.415 0.667
Th: 0.835 0.669 0.671
Sb: 0.665 0.080 0.329
Sb: 0.335 0.920 0.671
Sm: 0.500 0.500 0.000
Sb: 0.001 0.755 0.003
Ho: 0.500 0.000 0.000

# 11
The following is a DFT calculation (GGA-PBE) of a geometry-optimized BePt2Se structure.

## Properties
Space-group type: Fm-3m (225)
ΔE to the lowest computed polymorph: 1.405 eV per formula unit
Formation energy from raw total energies: 111 meV per atom
Total energy: -4.713 eV/atom

Cell: 4.375 4.375 4.375 Å, 60.00 60.00 60.00°
Atoms (fractional coordinates):
Be: 0.000 0.000 0.000
Pt: 0.250 0.250 0.250
Pt: 0.750 0.750 0.750
Se: 0.500 0.500 0.500

M_tot (Bohr magnetons per cell)
0.00; 0.00; 0.00; 0.00; 0.00; 0.00; 2.96; 0.00; 1.82; 0.00; 0.00